Record 1
{"formula": "GaTeH", "functional": "SCAN", "state": "PBEsol geometry", "lattice": [[4.0418, 0.0009, 0.0168], [2.0203, 3.5001, 0.0098], [0.2524, 0.0897, 10.7141]], "species": ["H", "Ga", "Ga", "Te", "H", "Te"], "frac_coords": [[0.7750, 0.2380, 0.7548], [0.7233, 0.1893, 0.3966], [0.7369, 0.1946, 0.1707], [0.0496, 0.5194, 0.5155], [0.6856, 0.1899, 0.8109], [0.0772, 0.5310, 0.0517]], "energy_ev_per_atom": -19.25}



Record 2
{"formula": "FeCuRh2", "functional": "SCAN", "state": "PBEsol geometry", "lattice": [[-0.2074, -2.3467, -1.1660], [1.4960, -1.6142, 2.9827], [-4.6963, -0.5952, 2.0334]], "species": ["Fe", "Rh", "Cu", "Rh"], "frac_coords": [[0.5000, 0.5000, 0.7461], [0.5000, 0.5000, 0.2579], [0.0000, 0.0000, 0.5032], [0.0000, 0.0000, 0.9928]], "delta_e_f_ev_per_atom": -0.02}



Record 3
{"formula": "SbTeAu", "functional": "SCAN", "state": "PBEsol geometry", "lattice": [[-2.2810, -2.9260, 0.0371], [2.8446, -2.2282, -0.8423], [0.7132, 1.8679, 5.6388]], "species": ["Te", "Au", "Sb"], "frac_coords": [[0.3585, 0.3585, 0.7171], [0.0146, 0.0146, 0.0293], [0.6268, 0.6268, 0.2536]], "energy_ev_per_atom": -47.70}



Record 4
{"formula": "CdAgOs2", "functional": "SCAN", "state": "PBEsol geometry", "lattice": [[-2.3030, -0.4972, -1.5153], [2.1087, -1.5976, -2.6808], [-0.6217, -5.3548, 2.7021]], "species": ["Ag", "Os", "Cd", "Os"], "frac_coords": [[0.5000, 0.0000, 0.4986], [0.0000, 0.5000, 0.2169], [0.0000, 0.5000, 0.7451], [0.5000, 0.0000, 0.0394]], "delta_e_f_ev_per_atom": 0.40}



Record 5
{"formula": "BaMgCd2", "functional": "SCAN", "state": "PBEsol geometry", "lattice": [[-1.9695, -1.1667, 2.8968], [3.0351, -1.5215, 1.4507], [1.6032, 6.8788, 3.8604]], "species": ["Ba", "Cd", "Cd", "Mg"], "frac_coords": [[0.5000, 0.5000, 0.5000], [0.0000, 0.0000, 0.1952], [0.0000, 0.0000, 0.8048], [0.5000, 0.5000, 0.0000]], "delta_e_f_ev_per_atom": -0.23}



Record 6
{"formula": "IrOs2Pb", "functional": "SCAN", "state": "PBEsol geometry", "lattice": [[-0.8458, -1.1146, 2.4906], [1.8890, -1.3174, 1.6903], [2.1702, 7.1918, 5.5939]], "species": ["Os", "Os", "Ir", "Pb"], "frac_coords": [[0.2423, 0.2423, 0.2731], [0.7577, 0.7577, 0.7269], [0.5000, 0.5000, 0.5000], [0.0000, 0.0000, 0.0000]], "delta_e_f_ev_per_atom": 0.91}



Record 7
{"formula": "SrMgRe2", "functional": "SCAN", "state": "PBEsol geometry", "lattice": [[-0.1074, -0.6494, 3.8712], [-3.5521, -1.6319, -0.3723], [3.8932, -3.1978, -2.4200]], "species": ["Mg", "Sr", "Re", "Re"], "frac_coords": [[0.0000, 0.0000, 0.0000], [0.5000, 0.5000, 0.0000], [0.7500, 0.2500, 0.5000], [0.2500, 0.7500, 0.5000]], "delta_e_f_ev_per_atom": 1.08}



Record 8
{"formula": "NbAg2AuBr", "functional": "SCAN", "state": "PBEsol geometry", "lattice": [[4.7777, 0.0000, 0.0000], [0.0000, 5.1750, 0.0000], [0.0000, 0.0000, 5.1750]], "species": ["Ag", "Au", "Ag", "Nb", "Br"], "frac_coords": [[0.0000, 0.0000, 0.5000], [0.5000, 0.5000, 0.5000], [0.0000, 0.5000, 0.0000], [0.0000, 0.0000, 0.0000], [0.5000, 0.0000, 0.0000]], "energy_ev_per_atom": -35.82}



Record 9
{"formula": "NbReAsBr2", "functional": "SCAN", "state": "PBEsol geometry", "lattice": [[-4.2616, -0.8341, 2.6994], [2.0755, -4.1063, 2.0078], [1.8404, 2.7691, 3.7610]], "species": ["Re", "Br", "As", "Nb", "Br"], "frac_coords": [[0.5000, 0.5000, 0.5000], [0.0000, 0.0000, 0.5000], [0.5000, 0.0000, 0.0000], [0.0000, 0.0000, 0.0000], [0.0000, 0.5000, 0.0000]], "energy_ev_per_atom": -31.51}



Record 10
{"formula": "KZrMo2", "functional": "SCAN", "state": "PBEsol geometry", "lattice": [[2.6393, 0.0000, 0.0000], [-1.3196, 5.0041, 0.0070], [0.0000, -0.0663, 7.2083]], "species": ["Mo", "Mo", "Zr", "K"], "frac_coords": [[0.2568, 0.5137, 0.3403], [0.7432, 0.4863, 0.6597], [0.0000, 0.0000, 0.5000], [0.5000, 0.0000, 0.0000]], "delta_e_f_ev_per_atom": 1.02}



Record 11
{"formula": "ScCrCu2Hg", "functional": "SCAN", "state": "PBEsol geometry", "lattice": [[4.6375, 0.0000, 0.0000], [0.0000, 4.6375, 0.0000], [0.0000, 0.0000, 4.5648]], "species": ["Sc", "Cu", "Cu", "Hg", "Cr"], "frac_coords": [[0.0000, 0.0000, 0.0000], [0.5000, 0.0000, 0.0000], [0.0000, 0.5000, 0.0000], [0.5000, 0.5000, 0.5000], [0.0000, 0.0000, 0.5000]], "delta_e_f_ev_per_atom": 1.28}



Record 12
{"formula": "TeAsAu2", "functional": "SCAN", "state": "PBEsol geometry", "lattice": [[3.9676, 0.0000, 0.0000], [1.9838, 3.4367, 0.0837], [1.9838, 0.9818, 6.2257]], "species": ["Te", "Au", "Au", "As"], "frac_coords": [[0.5072, 0.5071, 0.4785], [0.0030, 0.0031, 0.9909], [0.2556, 0.2561, 0.2327], [0.7342, 0.7337, 0.7979]], "energy_ev_per_atom": -49.00}



Record 13
{"formula": "ZrTaPt2Au", "functional": "SCAN", "state": "PBEsol geometry", "lattice": [[-4.5747, -1.2262, 0.4185], [1.0832, -4.4622, -1.2334], [0.7338, -1.1265, 4.7201]], "species": ["Ta", "Zr", "Pt", "Au", "Pt"], "frac_coords": [[0.5000, 0.5000, 0.5000], [0.0000, 0.0000, 0.0000], [0.5000, 0.0000, 0.0000], [0.0000, 0.0000, 0.5000], [0.0000, 0.5000, 0.0000]], "delta_e_f_ev_per_atom": 1.15}



Record 14
{"formula": "SrCu2GeC", "functional": "SCAN", "state": "PBEsol geometry", "lattice": [[-0.8270, 1.2037, 3.7553], [0.3225, -3.8035, 1.2902], [4.7833, 0.6881, 0.8328]], "species": ["C", "Sr", "Ge", "Cu", "Cu"], "frac_coords": [[0.0000, 0.0000, 0.0000], [0.5000, 0.5000, 0.5000], [0.0000, 0.0000, 0.5000], [0.5000, 0.0000, 0.0000], [0.0000, 0.5000, 0.0000]], "delta_e_f_ev_per_atom": 0.53}



Record 15
{"formula": "Cu3PtO", "functional": "SCAN", "state": "PBEsol geometry", "lattice": [[3.8833, 0.0000, 0.0000], [0.0000, 3.8833, 0.0000], [0.0000, 0.0000, 3.8833]], "species": ["Cu", "Pt", "O", "Cu", "Cu"], "frac_coords": [[0.5000, 0.0000, 0.0000], [0.5000, 0.5000, 0.5000], [0.0000, 0.0000, 0.0000], [0.0000, 0.5000, 0.0000], [0.0000, 0.0000, 0.5000]], "energy_ev_per_atom": -24.52}



Record 16
{"formula": "CaMn4Pt", "functional": "SCAN", "state": "PBEsol geometry", "lattice": [[4.8387, 0.0000, 0.0000], [2.4194, 4.1904, 0.0000], [2.4194, 1.3968, 3.9508]], "species": ["Mn", "Mn", "Ca", "Mn", "Pt", "Mn"], "frac_coords": [[0.3754, 0.3754, 0.8739], [0.3754, 0.8739, 0.3754], [0.0000, 0.0000, 0.0000], [0.8739, 0.3754, 0.3754], [0.7500, 0.7500, 0.7500], [0.3754, 0.3754, 0.3754]], "delta_e_f_ev_per_atom": 0.21}



Record 17
{"formula": "Be2FeCo", "functional": "SCAN", "state": "PBEsol geometry", "lattice": [[2.5680, 0.0000, 0.0000], [0.0000, 3.6676, 0.0000], [0.0000, 0.0000, 3.6676]], "species": ["Co", "Be", "Be", "Fe"], "frac_coords": [[0.5000, 0.5000, 0.5000], [0.0000, 0.5000, 0.0000], [0.0000, 0.0000, 0.5000], [0.5000, 0.0000, 0.0000]], "delta_e_f_ev_per_atom": -0.19}



Record 18
{"formula": "HfTlI2O", "functional": "SCAN", "state": "PBEsol geometry", "lattice": [[3.9624, 0.0000, 0.0000], [0.0000, 6.0048, 0.0000], [0.0000, 0.0000, 6.0048]], "species": ["I", "Tl", "O", "Hf", "I"], "frac_coords": [[0.0000, 0.0000, 0.5000], [0.0000, 0.0000, 0.0000], [0.5000, 0.0000, 0.0000], [0.5000, 0.5000, 0.5000], [0.0000, 0.5000, 0.0000]], "energy_ev_per_atom": -42.52}



Record 19
{"formula": "ErCu2O4", "functional": "SCAN", "state": "PBEsol geometry", "lattice": [[5.5600, 0.0000, 0.0000], [-2.7800, 5.4977, -0.0129], [0.0000, 2.8227, 4.7902]], "species": ["O", "O", "O", "O", "O", "Cu", "Cu", "Cu", "O", "Er", "Er", "O", "Cu", "O"], "frac_coords": [[0.6521, 0.8945, 0.9058], [0.2424, 0.8945, 0.1997], [0.0979, 0.6055, 0.8442], [0.9058, 0.1055, 0.2424], [0.8442, 0.3945, 0.5076], [0.8750, 0.2500, 0.8750], [0.3750, 0.2500, 0.8750], [0.8750, 0.7500, 0.8750], [0.5076, 0.6055, 0.5503], [0.2500, 0.5000, 0.2500], [0.5000, 0.0000, 0.5000], [0.5503, 0.3945, 0.0979], [0.8750, 0.7500, 0.3750], [0.1997, 0.1055, 0.6521]], "energy_ev_per_atom": -17.06}



Record 20
{"formula": "YTa2Pb2", "functional": "SCAN", "state": "PBEsol geometry", "lattice": [[-0.8156, -3.7404, -2.8763], [3.6837, -2.3288, 1.9840], [-4.8322, 0.8740, 4.2194]], "species": ["Ta", "Ta", "Pb", "Y", "Pb"], "frac_coords": [[0.3936, 0.3936, 0.7871], [0.6064, 0.6064, 0.2129], [0.2500, 0.7500, 0.5000], [0.0000, 0.0000, 0.0000], [0.7500, 0.2500, 0.5000]], "delta_e_f_ev_per_atom": 0.48}



Record 21
{"formula": "Mg3Rh", "functional": "SCAN", "state": "PBEsol geometry", "lattice": [[5.1647, 0.0000, 0.0000], [0.0000, 7.3401, 0.0000], [0.0000, 0.0000, 7.9981]], "species": ["Mg", "Rh", "Mg", "Mg", "Rh", "Mg", "Mg", "Mg", "Mg", "Mg", "Rh", "Mg", "Mg", "Mg", "Mg", "Rh"], "frac_coords": [[0.8911, 0.6714, 0.5616], [0.4238, 0.1285, 0.2500], [0.4061, 0.5260, 0.7500], [0.3911, 0.8286, 0.4384], [0.0762, 0.6285, 0.2500], [0.1089, 0.3286, 0.0616], [0.3911, 0.8286, 0.0616], [0.9061, 0.9740, 0.2500], [0.6089, 0.1714, 0.5616], [0.5939, 0.4740, 0.2500], [0.5762, 0.8715, 0.7500], [0.0939, 0.0260, 0.7500], [0.8911, 0.6714, 0.9384], [0.1089, 0.3286, 0.4384], [0.6089, 0.1714, 0.9384], [0.9238, 0.3715, 0.7500]], "delta_e_f_ev_per_atom": -0.42}



Record 22
{"formula": "YHf2Sb2", "functional": "SCAN", "state": "PBEsol geometry", "lattice": [[4.1993, 0.0000, 0.0000], [0.0000, 4.1993, 0.0000], [-2.0997, -2.0997, 6.8335]], "species": ["Sb", "Hf", "Sb", "Hf", "Y"], "frac_coords": [[0.3939, 0.3939, 0.7877], [0.2500, 0.7500, 0.5000], [0.6061, 0.6061, 0.2123], [0.7500, 0.2500, 0.5000], [0.0000, 0.0000, 0.0000]], "energy_ev_per_atom": -46.12}



Record 23
{"formula": "ZrAsRu", "functional": "SCAN", "state": "PBEsol geometry", "lattice": [[-2.4172, 1.0589, 1.6526], [0.8720, -2.8154, 3.0794], [1.7650, 3.8788, 0.0963]], "species": ["Zr", "As", "Ru"], "frac_coords": [[0.5000, 0.6667, 0.3333], [0.0000, 0.0000, 0.0000], [0.0000, 0.3333, 0.6667]], "delta_e_f_ev_per_atom": -0.83}



Record 24
{"formula": "CsGaNF2", "functional": "SCAN", "state": "PBEsol geometry", "lattice": [[4.5318, 0.0000, 0.0000], [0.0000, 5.1587, 0.0000], [0.0000, 0.0000, 5.1587]], "species": ["N", "Ga", "F", "Cs", "F"], "frac_coords": [[0.5000, 0.0000, 0.0000], [0.5000, 0.5000, 0.5000], [0.0000, 0.0000, 0.5000], [0.0000, 0.0000, 0.0000], [0.0000, 0.5000, 0.0000]], "energy_ev_per_atom": -14.02}



Record 25
{"formula": "PO2F2", "functional": "SCAN", "state": "PBEsol geometry", "lattice": [[-0.0229, 3.3186, -1.0770], [-3.1779, 0.4247, 1.3762], [1.7019, 1.1700, 3.5689]], "species": ["O", "F", "O", "P", "F"], "frac_coords": [[0.0000, 0.5000, 0.0000], [0.0000, 0.0000, 0.5000], [0.5000, 0.0000, 0.0000], [0.5000, 0.5000, 0.5000], [0.0000, 0.0000, 0.0000]], "energy_ev_per_atom": -4.96}



Record 26
{"formula": "FeCoIr2", "functional": "SCAN", "state": "PBEsol geometry", "lattice": [[2.6463, 0.0000, 0.0000], [0.0000, 3.6463, 0.0000], [0.0000, 0.0000, 5.1399]], "species": ["Fe", "Ir", "Ir", "Co"], "frac_coords": [[0.5000, 0.5000, 0.7408], [0.5000, 0.5000, 0.2620], [0.0000, 0.0000, 0.9919], [0.0000, 0.0000, 0.5054]], "delta_e_f_ev_per_atom": -0.02}



Record 27
{"formula": "BaSrSe2", "functional": "SCAN", "state": "PBEsol geometry", "lattice": [[-2.0270, -3.4836, 2.0390], [-1.3026, -3.5858, -2.4182], [5.4681, -5.5158, 1.0153]], "species": ["Se", "Se", "Sr", "Ba"], "frac_coords": [[0.2453, 0.2453, 0.2642], [0.7547, 0.7547, 0.7358], [0.5000, 0.5000, 0.5000], [0.0000, 0.0000, 0.0000]], "energy_ev_per_atom": -27.81}